## CaTbPm2Te4 (PBE-GGA)

Data for a relaxed structure of CaTbPm2Te4.

Properties
**DOS(E_F)**: 0.461 states/eV/atom
**Density**: 6.68 g cm⁻³
**Total DFT energy (no corrections)**: -40.159 eV per cell
**Volume**: 31.08 Å³/atom
**Space group**: No. 10
**Formation energy from raw total energies**: -1.432 eV/atom

```
data_CaTbPm2Te4
_chemical_formula_sum 'Ca1 Tb1 Pm2 Te4'
_symmetry_space_group_name_H-M 'P 1'
_symmetry_Int_Tables_number 1
_cell_length_a 7.6909
_cell_length_b 4.4106
_cell_length_c 7.7490
_cell_angle_alpha 90.00
_cell_angle_beta 108.95
_cell_angle_gamma 90.00
loop_
_symmetry_equiv_pos_as_xyz
'x,y,z'
loop_
_atom_site_label
_atom_site_fract_x
_atom_site_fract_y
_atom_site_fract_z
Ca1 0.0000 0.0000 0.0000
Tb1 0.5000 0.5000 0.0000
Pm1 0.0000 0.5000 0.5000
Pm2 0.5000 0.0000 0.5000
Te1 0.2493 0.5000 0.2440
Te2 0.2530 0.0000 0.7574
Te3 0.7470 0.0000 0.2426
Te4 0.7507 0.5000 0.7560
```


## LaAsIN2 (PBE-GGA)

Data for a relaxed structure of LaAsIN2.

Properties
**DOS(E_F)**: 0.577 states/eV/atom
**Density**: 6.18 g cm⁻³
**Total DFT energy (no corrections)**: -24.143 eV per cell
**E above lowest polymorph**: 0.0 kJ/mol of atoms
**Volume**: 19.81 Å³/atom
**Space group**: No. 123
**Formation energy from raw total energies**: 0.727 eV/atom

```
data_LaAsIN2
_chemical_formula_sum 'La1 As1 I1 N2'
_symmetry_space_group_name_H-M 'P 1'
_symmetry_Int_Tables_number 1
_cell_length_a 4.3177
_cell_length_b 4.3177
_cell_length_c 5.3119
_cell_angle_alpha 90.00
_cell_angle_beta 90.00
_cell_angle_gamma 90.00
loop_
_symmetry_equiv_pos_as_xyz
'x,y,z'
loop_
_atom_site_label
_atom_site_fract_x
_atom_site_fract_y
_atom_site_fract_z
La1 0.0000 0.0000 0.0000
As1 0.5000 0.5000 0.5000
I1 0.5000 0.5000 0.0000
N1 0.0000 0.5000 0.5000
N2 0.5000 0.0000 0.5000
```